[1]
This record from Alexandria via LeMat-Bulk describes a relaxed structure of Cd2WBr. The functional is PBE-GGA.

Calculated values
- Formation energy without anion corrections: 0.86 eV/atom
- Relative energy among the computed polymorphs: 0.4070 eV per atom
- Size of the total moment: 1.2 μB per formula unit
- E: -3.25 eV per atom

abc: 2.988 4.942 5.608
angles: 90.00 90.00 90.00
Fractional coordinates of all 4 atoms:
Cd1 0.000 0.000 0.000
Cd2 0.500 0.500 0.000
W1 0.000 0.500 0.500
Br1 0.500 0.000 0.500

[2]
This record from Alexandria via LeMat-Bulk describes a relaxed structure of Eu2Lu. The functional is PBE-GGA.

Calculated values
- Relative energy among the computed polymorphs: 0.2279 eV per atom
- Size of the total moment: 15.3 μB per formula unit
- E: -8.03 eV per atom
- Formation energy: 331.2 meV/atom

abc: 6.792 6.792 6.792
angles: 60.00 60.00 60.00
Fractional coordinates of all 6 atoms:
Eu1 0.000 0.000 0.000
Eu2 0.000 0.000 0.500
Eu3 0.000 0.500 0.000
Eu4 0.500 0.000 0.000
Lu1 0.375 0.375 0.375
Lu2 0.625 0.625 0.625

[3]
This record from Alexandria via LeMat-Bulk describes a relaxed structure of Ac3Zn2In. The functional is PBE-GGA.

Calculated values
- Relative energy among the computed polymorphs: 0.0000 eV per atom
- Size of the total moment: 0.0 μB per formula unit
- E: -3.23 eV per atom
- Formation energy: -297.5 meV/atom

abc: 3.928 3.928 12.209
angles: 90.00 90.00 90.00
Fractional coordinates of all 6 atoms:
Ac1 0.000 0.000 0.000
Ac2 0.000 0.000 0.317
Ac3 0.000 0.000 0.683
Zn1 0.500 0.500 0.156
Zn2 0.500 0.500 0.844
In1 0.500 0.500 0.500

> Number 2 is which compound?

Eu2Lu

Please write out number 2 again, unchanged.
This record from Alexandria via LeMat-Bulk describes a relaxed structure of Eu2Lu. The functional is PBE-GGA.

Calculated values
- Relative energy among the computed polymorphs: 0.2279 eV per atom
- Size of the total moment: 15.3 μB per formula unit
- E: -8.03 eV per atom
- Formation energy: 331.2 meV/atom

abc: 6.792 6.792 6.792
angles: 60.00 60.00 60.00
Fractional coordinates of all 6 atoms:
Eu1 0.000 0.000 0.000
Eu2 0.000 0.000 0.500
Eu3 0.000 0.500 0.000
Eu4 0.500 0.000 0.000
Lu1 0.375 0.375 0.375
Lu2 0.625 0.625 0.625